[1]
First-principles (PBE-GGA) data for a geometry-optimized KNaCa structure, as listed in Alexandria.

Summary:
The density of states at the Fermi level is 3.3 states/eV/cell. Its formation energy from the elements is 0.112 eV per atom. Its space group is P3m1 (156).

Unit cell a=4.0581 b=4.0581 c=10.1695 alpha=90.00 beta=90.00 gamma=120.00
Fractional coordinates of all 3 atoms:
K  0.0000  0.0000  0.0037
Ca  0.3333  0.6667  0.6471
Na  0.6667  0.3333  0.3492

[2]
First-principles (PBE-GGA) data for a geometry-optimized Ca2AlGaPb structure, as listed in Alexandria.

Summary:
The density of states at the Fermi level is 5.5 states/eV/cell. Its formation energy from the elements is 0.355 eV per atom. Its space group is P4/mmm (123).

Unit cell a=5.9598 b=5.3755 c=5.9598 alpha=90.00 beta=90.00 gamma=90.00
Fractional coordinates of all 5 atoms:
Al  0.5000  0.5000  0.5000
Ca  0.0000  0.0000  0.5000
Pb  0.0000  0.0000  0.0000
Ga  0.0000  0.5000  0.0000
Ca  0.5000  0.0000  0.0000

Which of these has the lowest formation energy from the elements?
KNaCa

formation energy from the elements of number 1 (KNaCa)?
0.112 eV per atom

Copy entry 1 word for word.
First-principles (PBE-GGA) data for a geometry-optimized KNaCa structure, as listed in Alexandria.

Summary:
The density of states at the Fermi level is 3.3 states/eV/cell. Its formation energy from the elements is 0.112 eV per atom. Its space group is P3m1 (156).

Unit cell a=4.0581 b=4.0581 c=10.1695 alpha=90.00 beta=90.00 gamma=120.00
Fractional coordinates of all 3 atoms:
K  0.0000  0.0000  0.0037
Ca  0.3333  0.6667  0.6471
Na  0.6667  0.3333  0.3492

What did the first record say?
First-principles (PBE-GGA) data for a geometry-optimized KNaCa structure, as listed in Alexandria.

Summary:
The density of states at the Fermi level is 3.3 states/eV/cell. Its formation energy from the elements is 0.112 eV per atom. Its space group is P3m1 (156).

Unit cell a=4.0581 b=4.0581 c=10.1695 alpha=90.00 beta=90.00 gamma=120.00
Fractional coordinates of all 3 atoms:
K  0.0000  0.0000  0.0037
Ca  0.3333  0.6667  0.6471
Na  0.6667  0.3333  0.3492